No. 1
SrOsW2: optimized geometry, GGA-PBE.

abc: 6.6136 6.6136 6.6136
angles: 90.00 90.00 90.00
Space group F-43m (No. 216)
Unique sites:
Sr 0.0000 0.0000 0.0000
Os 0.2500 0.2500 0.7500
W 0.0000 0.0000 0.5000
W 0.2500 0.2500 0.2500

Spin magnetization ... 0.0 μB per cell
Energy of formation from the pure elements ... 1092 meV per atom
Total energy ... -8.61 eV per atom
E above lowest polymorph ... 157 kJ/mol of formula units

No. 2
Tl4HgPbAu2: optimized geometry, GGA-PBE.

abc: 4.6274 4.6274 11.0619
angles: 90.00 90.00 90.00
Space group P4/mmm (No. 123)
Unique sites:
Tl 0.0000 0.5000 0.2091
Hg 0.0000 0.0000 0.0000
Pb 0.0000 0.0000 0.5000
Au 0.5000 0.5000 0.3789

Spin magnetization ... 0.0 μB per cell
Energy of formation from the pure elements ... 72 meV per atom
Total energy ... -2.43 eV per atom